Computed, not measured: an optimized crystal structure of RbNa3Cu at the GGA-PBE level of DFT.

Structure (POSCAR):
```
RbNa3Cu
1.0
6.558 0.000 0.000
0.000 6.558 0.000
0.000 0.000 6.558
Rb Na Cu
1 3 1
direct
0.000 0.000 0.000
0.000 0.500 0.000
0.500 0.000 0.000
0.000 0.000 0.500
0.500 0.500 0.500
```

## Properties
For the total energy, the calculation gives -0.90 eV/atom. The space group is No. 221. The value obtained for the excess energy over the best structure of this formula in the dataset is 0.707 eV/atom.